Record 1
Density functional theory data (PBEsol) for a relaxed structure of Co2CuAgRh.

The structure in POSCAR format:
```
Co2CuAgRh
1.0
4.225 0.000 0.000
0.000 4.225 0.000
0.000 0.000 4.463
Co Cu Ag Rh
2 1 1 1
Direct
0.000 0.500 0.000
0.500 0.000 0.000
0.000 0.000 0.000
0.500 0.500 0.500
0.000 0.000 0.500
```

Properties
- uncorrected energy (eV/f.u.) = -24.64
- symmetry = P4/mmm, No. 123
- DOS at the Fermi energy (states/eV per cell) = 9.7
- energy of formation from the pure elements (eV/atom) = 1.323
- theoretical density (g/cm³) = 8.174

Record 2
Density functional theory data (PBEsol) for a relaxed structure of FeCoAg3.

The structure in POSCAR format:
```
FeCoAg3
1.0
4.615 0.000 0.000
0.000 4.615 0.000
0.000 0.000 4.615
Fe Co Ag
1 1 3
Direct
0.000 0.000 0.000
0.500 0.500 0.500
0.000 0.500 0.500
0.500 0.000 0.500
0.500 0.500 0.000
```

Properties
- uncorrected energy (eV/f.u.) = -19.48
- symmetry = Pm-3m, No. 221
- DOS at the Fermi energy (states/eV per cell) = 7.7
- energy of formation from the pure elements (eV/atom) = 1.431
- theoretical density (g/cm³) = 7.408

Record 3
Density functional theory data (PBEsol) for a relaxed structure of Fe2CoTcAg.

The structure in POSCAR format:
```
Fe2CoTcAg
1.0
4.178 0.000 0.000
0.000 4.178 0.000
0.000 0.000 4.547
Fe Co Tc Ag
2 1 1 1
Direct
0.000 0.500 0.000
0.500 0.000 0.000
0.000 0.000 0.000
0.500 0.500 0.500
0.000 0.000 0.500
```

Properties
- uncorrected energy (eV/f.u.) = -32.80
- symmetry = P4/mmm, No. 123
- DOS at the Fermi energy (states/eV per cell) = 5.6
- energy of formation from the pure elements (eV/atom) = 1.488
- theoretical density (g/cm³) = 7.878

Record 4
Density functional theory data (PBEsol) for a relaxed structure of GaCo3Ag.

The structure in POSCAR format:
```
GaCo3Ag
1.0
4.265 0.000 0.000
0.000 4.265 0.000
0.000 0.000 4.265
Ga Co Ag
1 3 1
Direct
0.000 0.000 0.000
0.000 0.000 0.500
0.000 0.500 0.000
0.500 0.000 0.000
0.500 0.500 0.500
```

Properties
- uncorrected energy (eV/f.u.) = -24.32
- symmetry = Pm-3m, No. 221
- DOS at the Fermi energy (states/eV per cell) = 7.4
- energy of formation from the pure elements (eV/atom) = 1.109
- theoretical density (g/cm³) = 7.583

Q: Which of these has the highest energy of formation from the pure elements?
A: Fe2CoTcAg